This record from OQMD describes a geometry-optimized BaLiPuSe3 structure. The functional is GGA-PBE.

Cell lengths 7.336, 7.336, 10.888 Å; angles 90.00, 90.00, 145.68 degrees
Element x y z (fractional)
Ba1 0.247 0.753 0.750
Ba2 0.753 0.247 0.250
Li1 0.027 0.973 0.250
Li2 0.973 0.027 0.750
Pu1 0.500 0.500 0.000
Pu2 0.500 0.500 0.500
Se1 0.132 0.868 0.062
Se2 0.132 0.868 0.438
Se3 0.431 0.569 0.250
Se4 0.569 0.431 0.750
Se5 0.868 0.132 0.562
Se6 0.868 0.132 0.938

Properties
Crystal system: orthorhombic
Space group: No. 63



This record from OQMD describes a geometry-optimized BaLiSmS3 structure. The functional is GGA-PBE.

Cell lengths 7.099, 7.099, 10.509 Å; angles 90.00, 90.00, 146.03 degrees
Element x y z (fractional)
Ba1 0.245 0.755 0.750
Ba2 0.755 0.245 0.250
Li1 0.029 0.971 0.250
Li2 0.971 0.029 0.750
Sm1 0.500 0.500 0.000
Sm2 0.500 0.500 0.500
S1 0.132 0.868 0.065
S2 0.132 0.868 0.435
S3 0.433 0.567 0.250
S4 0.567 0.433 0.750
S5 0.868 0.132 0.565
S6 0.868 0.132 0.935

Properties
Crystal system: orthorhombic
Space group: No. 63
E above lowest polymorph: 0.0005 eV/atom



This record from OQMD describes a geometry-optimized BaLiSmS3 structure. The functional is GGA-PBE.

Cell lengths 10.535, 4.152, 13.576 Å; angles 90.00, 90.00, 90.00 degrees
Element x y z (fractional)
Ba1 0.239 0.250 0.004
Ba2 0.261 0.750 0.504
Ba3 0.739 0.250 0.496
Ba4 0.761 0.750 0.996
Li1 0.241 0.750 0.777
Li2 0.259 0.250 0.277
Li3 0.741 0.750 0.723
Li4 0.759 0.250 0.223
Sm1 0.009 0.750 0.254
Sm2 0.491 0.250 0.754
Sm3 0.509 0.750 0.246
Sm4 0.991 0.250 0.746
S1 0.055 0.750 0.880
S2 0.077 0.250 0.383
S3 0.243 0.250 0.681
S4 0.257 0.750 0.181
S5 0.423 0.750 0.883
S6 0.445 0.250 0.380
S7 0.555 0.750 0.620
S8 0.577 0.250 0.117
S9 0.743 0.250 0.819
S10 0.757 0.750 0.319
S11 0.923 0.750 0.617
S12 0.945 0.250 0.120

Properties
Crystal system: orthorhombic
Space group: No. 62
E above lowest polymorph: 0.0000 eV/atom



This record from OQMD describes a geometry-optimized BaLiSmS3 structure. The functional is GGA-PBE.

Cell lengths 8.943, 8.943, 8.624 Å; angles 103.86, 103.86, 26.74 degrees
Element x y z (fractional)
Ba1 0.135 0.135 0.065
Ba2 0.865 0.865 0.935
Li1 0.499 0.499 0.302
Li2 0.501 0.501 0.698
Sm1 0.165 0.165 0.585
Sm2 0.835 0.835 0.415
S1 0.000 0.000 0.500
S2 0.329 0.329 0.196
S3 0.333 0.333 0.637
S4 0.500 0.500 0.000
S5 0.667 0.667 0.363
S6 0.671 0.671 0.804

Properties
Crystal system: monoclinic
Space group: No. 12
E above lowest polymorph: 0.0144 eV/atom



This record from OQMD describes a geometry-optimized Ba2LiTaS6 structure. The functional is GGA-PBE.

Cell lengths 6.901, 6.901, 6.901 Å; angles 60.00, 60.00, 60.00 degrees
Element x y z (fractional)
Ba1 0.250 0.250 0.250
Ba2 0.750 0.750 0.750
Li1 0.000 0.000 0.000
Ta1 0.500 0.500 0.500
S1 0.251 0.251 0.749
S2 0.251 0.749 0.251
S3 0.251 0.749 0.749
S4 0.749 0.251 0.251
S5 0.749 0.251 0.749
S6 0.749 0.749 0.251

Properties
Crystal system: cubic
Space group: No. 225
E above lowest polymorph: 0.0034 eV/atom



This record from OQMD describes a geometry-optimized Ba2LiTaS6 structure. The functional is GGA-PBE.

Cell lengths 7.036, 7.036, 7.036 Å; angles 57.82, 57.82, 57.82 degrees
Element x y z (fractional)
Ba1 0.000 0.000 0.000
Ba2 0.499 0.499 0.499
Li1 0.746 0.746 0.746
Ta1 0.236 0.236 0.236
S1 0.011 0.493 0.493
S2 0.493 0.011 0.493
S3 0.493 0.493 0.011
S4 0.509 0.998 0.998
S5 0.998 0.509 0.998
S6 0.998 0.998 0.509

Properties
Crystal system: trigonal
Space group: No. 160
E above lowest polymorph: 0.0000 eV/atom



This record from OQMD describes a geometry-optimized BaLiTbS3 structure. The functional is GGA-PBE.

Cell lengths 8.850, 8.850, 8.585 Å; angles 103.67, 103.67, 26.71 degrees
Element x y z (fractional)
Ba1 0.136 0.136 0.065
Ba2 0.864 0.864 0.935
Li1 0.496 0.496 0.301
Li2 0.504 0.504 0.699
Tb1 0.164 0.164 0.582
Tb2 0.836 0.836 0.418
S1 0.000 0.000 0.500
S2 0.330 0.330 0.203
S3 0.331 0.331 0.635
S4 0.500 0.500 0.000
S5 0.669 0.669 0.365
S6 0.670 0.670 0.797

Properties
Crystal system: monoclinic
Space group: No. 12
E above lowest polymorph: 0.0155 eV/atom



This record from OQMD describes a geometry-optimized BaLiTbS3 structure. The functional is GGA-PBE.

Cell lengths 7.105, 7.105, 10.321 Å; angles 90.00, 90.00, 146.53 degrees
Element x y z (fractional)
Ba1 0.245 0.755 0.750
Ba2 0.755 0.245 0.250
Li1 0.029 0.971 0.250
Li2 0.971 0.029 0.750
Tb1 0.500 0.500 0.000
Tb2 0.500 0.500 0.500
S1 0.131 0.869 0.061
S2 0.131 0.869 0.439
S3 0.433 0.567 0.250
S4 0.567 0.433 0.750
S5 0.869 0.131 0.561
S6 0.869 0.131 0.939

Properties
Crystal system: orthorhombic
Space group: No. 63
E above lowest polymorph: 0.0003 eV/atom



Electronic total energy list, top to bottom, in eV per atom: -6.40 -5.42 -5.42 -5.41 -5.50 -5.51 -5.41 -5.42